A plane-wave DFT calculation with PBE-GGA was carried out for crystalline Pm5ScPb5 at its relaxed geometry.

Cell and atoms, written as CIF:
```
data_Pm5ScPb5
_chemical_formula_sum 'Pm10 Sc2 Pb10'
_cell_length_a 16.559
_cell_length_b 6.155
_cell_length_c 7.309
_cell_angle_alpha 90.00
_cell_angle_beta 105.81
_cell_angle_gamma 90.00
_symmetry_space_group_name_H-M 'C 1 2/m 1'
_symmetry_Int_Tables_number 12
loop_
_symmetry_equiv_pos_as_xyz
'x,y,z'
'-x,-y,-z'
'-x,y,-z'
'x,-y,z'
'x+1/2,y+1/2,z'
'-x+1/2,-y+1/2,-z'
'-x+1/2,y+1/2,-z'
'x+1/2,-y+1/2,z'
loop_
_atom_site_label
_atom_site_type_symbol
_atom_site_fract_x
_atom_site_fract_y
_atom_site_fract_z
Pm1 Pm 0.000 0.000 0.000
Pm2 Pm 0.155 0.500 0.278
Pm3 Pm 0.179 0.500 0.789
Sc1 Sc 0.000 0.000 0.500
Pb1 Pb 0.000 0.500 0.500
Pb2 Pb 0.161 0.000 0.859
Pb3 Pb 0.162 0.000 0.399
```

Summary:
Formation energy from the elements = -0.30 eV per atom
Total magnetic moment = 0.00 μB/cell
Theoretical density = 8.37 g/cm³
Calculated volume = 32.58 A^3/atom